Zn3CdRh4 | the Alexandria database | GGA-PBE | relaxed; space-group type = R-3m, No. 166; M_tot = 0.00 μB/f.u.; calculated volume = 117 Å³/cell; DFT formation energy = -264 meV per atom
1.0
2.179 1.258 7.118
-2.179 1.258 7.118
0.000 -2.516 7.118
Zn Cd Rh
3 1 4
Direct
0.000 0.000 0.000
0.249 0.249 0.249
0.751 0.751 0.751
0.500 0.500 0.500
0.120 0.120 0.120
0.371 0.371 0.371
0.629 0.629 0.629
0.880 0.880 0.880